No. 1
Here is a relaxed Sr3La3HoS8 crystal from Alexandria. Energies are from GGA-PBE.

a b c (Å): 8.320 8.320 8.431
angles (deg): 119.57 90.00 119.99
Fractional coordinates of all 15 atoms:
S  0.759  0.993  0.727
S  0.252  0.503  0.255
S  0.234  0.993  0.727
S  0.234  0.467  0.727
S  0.748  0.497  0.745
Sr  0.000  0.000  0.000
Sr  0.500  0.500  0.000
S  0.766  0.533  0.273
Sr  0.000  0.500  0.000
Ho  0.000  0.000  0.500
La  0.500  0.000  0.500
La  0.500  0.500  0.500
S  0.766  0.007  0.273
La  0.000  0.500  0.500
S  0.241  0.007  0.273

Properties
The formation energy (no corrections) comes out at -2.125 eV/atom.

***

No. 2
Here is a relaxed LiZr2HRh crystal from Alexandria. Energies are from GGA-PBE.

a b c (Å): 4.552 4.552 3.657
angles (deg): 90.00 90.00 90.00
Fractional coordinates of all 5 atoms:
Li  0.500  0.500  0.500
Zr  0.000  0.500  0.000
Rh  0.000  0.000  0.500
Zr  0.500  0.000  0.000
H  0.000  0.000  0.000

Properties
The energy above the most stable polymorph in this dataset comes out at 103.3 meV/atom.